# Ba2ZnAg2Se2O2 | Alexandria | PBEsol | optimized geometry
# Total magnetization ... 0.000 μB/atom
# Formation energy from raw total energies ... -12.7 eV/f.u.
# Calculated total energy ... -4.82 eV/atom
data_Ba2ZnAg2Se2O2
_chemical_formula_sum 'Ba8 Zn4 Ag8 Se8 O8'
_cell_length_a 19.735
_cell_length_b 6.026
_cell_length_c 6.025
_cell_angle_alpha 90.00
_cell_angle_beta 90.00
_cell_angle_gamma 90.00
_space_group_name_H-M_alt 'C m c e'
_space_group_IT_number 64
_space_group_name_Hall '-C 2ac 2'
loop_
_atom_site_label
_atom_site_fract_x
_atom_site_fract_y
_atom_site_fract_z
Ba1 0.089 0.000 0.000
Zn1 0.000 0.000 0.500
Ag1 0.250 0.248 0.250
Se1 0.164 0.000 0.500
O1 0.000 0.219 0.281